## Ba3NaTl4 (PBE-GGA)

Data for Ba3NaTl4 after structural relaxation.

Structure (POSCAR):
```
Ba3NaTl4
1.0
4.1776 0.0000 0.0000
0.0000 4.1776 0.0000
0.0000 0.0000 16.8390
Ba Tl Na
3 4 1
direct
0.5000 0.5000 0.7614
0.5000 0.5000 0.2386
0.5000 0.5000 0.5000
0.0000 0.0000 0.9002
0.0000 0.0000 0.0998
0.0000 0.0000 0.6276
0.0000 0.0000 0.3724
0.5000 0.5000 0.0000
```

Properties
* DFT formation energy: -31.21 kJ per mole of atoms
* theoretical density: 7.08 g cm⁻³
* space-group type: P4/mmm
* final energy: -2.393 eV per atom
* spin magnetization: 0.0 μB per formula unit